[1]
Computed, not measured: a relaxed structure of AcPrCdAg at the PBE-GGA level of DFT.

The structure in POSCAR format:
```
AcPrCdAg
1.0
-4.086 -3.690 -0.804
-0.408 -4.462 3.299
-4.169 -0.377 3.665
Pr Ac Ag Cd
1 1 1 1
direct
0.000 0.000 0.000 Pr
0.500 0.500 0.500 Ac
0.250 0.250 0.250 Ag
0.750 0.750 0.750 Cd
```

Output
Final energy (eV/atom): -3.420
ΔE_f (eV per formula unit): -1.0
Space group: F-43m, No. 216

[2]
Computed, not measured: a relaxed structure of AcPrCdAg at the PBE-GGA level of DFT.

The structure in POSCAR format:
```
AcPrCdAg
1.0
-3.009 2.528 -0.017
-2.487 -2.955 0.728
0.907 1.132 7.696
Ac Pr Cd Ag
1 1 1 1
direct
0.500 0.500 0.114 Ac
0.500 0.500 0.599 Pr
0.000 0.000 0.839 Cd
0.000 0.000 0.376 Ag
```

Output
Final energy (eV/atom): -3.440
ΔE_f (eV per formula unit): -1.1
Space group: P4mm, No. 99

[3]
Computed, not measured: a relaxed structure of AcCd2AgPt2 at the PBE-GGA level of DFT.

The structure in POSCAR format:
```
AcCd2AgPt2
1.0
5.391 0.000 0.000
0.000 5.391 0.000
-2.695 -2.695 5.510
Ac Cd Ag Pt
1 2 1 2
direct
0.500 0.500 0.000 Ac
0.250 0.750 0.500 Cd
0.750 0.250 0.500 Cd
0.000 0.000 0.000 Ag
0.758 0.758 0.515 Pt
0.242 0.242 0.485 Pt
```

Output
Final energy (eV/atom): -3.707
ΔE_f (eV per formula unit): -1.4
Space group: I4/mmm, No. 139

> Among the records above, which one has the highest final energy?

number 1

> The lowest ΔE_f belongs to which entry?

AcCd2AgPt2

> final energy of number 2 (AcPrCdAg)?

-3.440 eV/atom

Repeat the first record exactly.
Computed, not measured: a relaxed structure of AcPrCdAg at the PBE-GGA level of DFT.

The structure in POSCAR format:
```
AcPrCdAg
1.0
-4.086 -3.690 -0.804
-0.408 -4.462 3.299
-4.169 -0.377 3.665
Pr Ac Ag Cd
1 1 1 1
direct
0.000 0.000 0.000 Pr
0.500 0.500 0.500 Ac
0.250 0.250 0.250 Ag
0.750 0.750 0.750 Cd
```

Output
Final energy (eV/atom): -3.420
ΔE_f (eV per formula unit): -1.0
Space group: F-43m, No. 216